No. 1
Entry from the Alexandria database: a relaxed NiWSe crystal (PBE).

## Properties
energy = -21.7 eV/f.u.
formation energy without anion corrections = 0.1839 eV/atom
total magnetization = 0.00 μB/f.u.

```
data_NiWSe
_chemical_formula_sum 'Ni4 W4 Se4'
_space_group_name_H-M_alt 'A m m 2'
_space_group_IT_number 38
_cell_length_a 11.800
_cell_length_b 3.067
_cell_length_c 5.344
_cell_angle_alpha 90.00
_cell_angle_beta 90.00
_cell_angle_gamma 90.00
loop_
_space_group_symop_operation_xyz
'x,y,z'
'-x,-y,z'
'-x,y,z'
'x,-y,z'
'x,y+1/2,z+1/2'
'-x,-y+1/2,z+1/2'
'-x,y+1/2,z+1/2'
'x,-y+1/2,z+1/2'
loop_
_atom_site_label
_atom_site_type_symbol
_atom_site_fract_x
_atom_site_fract_y
_atom_site_fract_z
Ni1 Ni 0.154 0.000 0.000
W1 W 0.000 0.000 0.336
W2 W 0.500 0.000 0.259
Se1 Se 0.346 0.000 0.590
```

---

No. 2
Entry from the Alexandria database: a relaxed Ce2HoRu crystal (PBE).

## Properties
energy = -26.6 eV/f.u.
ΔH_f (0 K) = -0.231 eV/atom
total magnetization = 0.00 μB/f.u.

```
data_Ce2HoRu
_chemical_formula_sum 'Ce8 Ho4 Ru4'
_space_group_name_H-M_alt 'C m c m'
_space_group_IT_number 63
_space_group_name_Hall '-C 2c 2'
_cell_length_a 3.725
_cell_length_b 11.372
_cell_length_c 9.582
_cell_angle_alpha 90.00
_cell_angle_beta 90.00
_cell_angle_gamma 90.00
loop_
_atom_site_label
_atom_site_type_symbol
_atom_site_fract_x
_atom_site_fract_y
_atom_site_fract_z
Ce1 Ce 0.000 0.139 0.060
Ho1 Ho 0.000 0.420 0.250
Ru1 Ru 0.000 0.295 0.750
```

---

No. 3
Entry from the Alexandria database: a relaxed ZrTaP crystal (PBE).

## Properties
energy = -26.5 eV/f.u.
ΔH_f (0 K) = -0.221 eV/atom
total magnetization = 0.00 μB/f.u.

```
data_ZrTaP
_chemical_formula_sum 'Zr1 Ta1 P1'
_space_group_name_H-M_alt 'P -6 m 2'
_space_group_IT_number 187
_space_group_name_Hall 'P -6 2'
_cell_length_a 4.2472
_cell_length_b 4.2472
_cell_length_c 3.6015
_cell_angle_alpha 90.00
_cell_angle_beta 90.00
_cell_angle_gamma 120.00
loop_
_atom_site_label
_atom_site_type_symbol
_atom_site_fract_x
_atom_site_fract_y
_atom_site_fract_z
Zr1 Zr 0.0000 0.0000 0.0000
Ta1 Ta 0.3333 0.6667 0.5000
P1 P 0.6667 0.3333 0.5000
```

---

No. 4
Entry from the Alexandria database: a relaxed GeAs2PtSe crystal (PBE).

## Properties
energy = -18.4 eV/f.u.
formation energy without anion corrections = 1.0030 eV/atom
total magnetization = 0.00 μB/f.u.

```
data_GeAs2PtSe
_chemical_formula_sum 'Ge1 As2 Pt1 Se1'
_space_group_name_H-M_alt 'P 4/m m m'
_space_group_IT_number 123
_space_group_name_Hall '-P 4 2'
_cell_length_a 4.856
_cell_length_b 4.856
_cell_length_c 4.804
_cell_angle_alpha 90.00
_cell_angle_beta 90.00
_cell_angle_gamma 90.00
loop_
_atom_site_label
_atom_site_type_symbol
_atom_site_fract_x
_atom_site_fract_y
_atom_site_fract_z
Ge1 Ge 0.000 0.000 0.000
As1 As 0.000 0.500 0.000
Pt1 Pt 0.500 0.500 0.500
Se1 Se 0.000 0.000 0.500
```

---

No. 5
Entry from the Alexandria database: a relaxed MgBCl crystal (PBE).

## Properties
energy = -12.5 eV/f.u.
formation energy without anion corrections = -0.8041 eV/atom
total magnetization = 0.00 μB/f.u.

```
data_MgBCl
_chemical_formula_sum 'Mg2 B2 Cl2'
_space_group_name_H-M_alt 'P -1'
_space_group_IT_number 2
_cell_length_a 3.267
_cell_length_b 3.267
_cell_length_c 10.607
_cell_angle_alpha 81.44
_cell_angle_beta 81.63
_cell_angle_gamma 60.01
loop_
_space_group_symop_operation_xyz
'x,y,z'
'-x,-y,-z'
loop_
_atom_site_label
_atom_site_type_symbol
_atom_site_fract_x
_atom_site_fract_y
_atom_site_fract_z
Mg1 Mg 0.052 0.055 0.333
B1 B 0.334 0.334 0.499
Cl1 Cl 0.236 0.229 0.816
```

---

No. 6
Entry from the Alexandria database: a relaxed Pa6RhSe5 crystal (PBE).

## Properties
energy = -94.9 eV/f.u.
formation energy without anion corrections = -1.0942 eV/atom
total magnetization = 0.06 μB/f.u.

```
data_Pa6RhSe5
_chemical_formula_sum 'Pa12 Rh2 Se10'
_space_group_name_H-M_alt 'C 1 2/m 1'
_space_group_IT_number 12
_cell_length_a 7.091
_cell_length_b 12.202
_cell_length_c 7.047
_cell_angle_alpha 90.00
_cell_angle_beta 109.53
_cell_angle_gamma 90.00
loop_
_space_group_symop_operation_xyz
'x,y,z'
'-x,-y,-z'
'-x,y,-z'
'x,-y,z'
'x+1/2,y+1/2,z'
'-x+1/2,-y+1/2,-z'
'-x+1/2,y+1/2,-z'
'x+1/2,-y+1/2,z'
loop_
_atom_site_label
_atom_site_type_symbol
_atom_site_fract_x
_atom_site_fract_y
_atom_site_fract_z
Pa1 Pa 0.238 0.000 0.252
Pa2 Pa 0.239 0.161 0.739
Rh1 Rh 0.000 0.000 0.500
Se1 Se 0.000 0.174 0.000
Se2 Se 0.000 0.336 0.500
Se3 Se 0.000 0.500 0.000
```

---

No. 7
Entry from the Alexandria database: a relaxed AcPr8Tm4 crystal (PBE).

## Properties
energy = -57.2 eV/f.u.
ΔH_f (0 K) = 0.234 eV/atom
total magnetization = 0.00 μB/f.u.

```
data_AcPr8Tm4
_chemical_formula_sum 'Ac3 Pr24 Tm12'
_space_group_name_H-M_alt 'R -3 m'
_space_group_IT_number 166
_space_group_name_Hall '-R 3 2"'
_cell_length_a 7.3238
_cell_length_b 7.3238
_cell_length_c 30.0857
_cell_angle_alpha 90.00
_cell_angle_beta 90.00
_cell_angle_gamma 120.00
loop_
_atom_site_label
_atom_site_type_symbol
_atom_site_fract_x
_atom_site_fract_y
_atom_site_fract_z
Ac1 Ac 0.0000 0.0000 0.0000
Pr1 Pr 0.0000 0.0000 0.2886
Pr2 Pr 0.0328 0.5164 0.2591
Tm1 Tm 0.0000 0.0000 0.5000
Tm2 Tm 0.0000 0.5000 0.5000
```

---

No. 8
Entry from the Alexandria database: a relaxed Tm2URu4 crystal (PBE).

## Properties
energy = -58.4 eV/f.u.
ΔH_f (0 K) = -0.148 eV/atom
total magnetization = 0.00 μB/f.u.

```
data_Tm2URu4
_chemical_formula_sum 'Tm4 U2 Ru8'
_space_group_name_H-M_alt 'I 4/m m m'
_space_group_IT_number 139
_space_group_name_Hall '-I 4 2'
_cell_length_a 4.488
_cell_length_b 4.488
_cell_length_c 13.328
_cell_angle_alpha 90.00
_cell_angle_beta 90.00
_cell_angle_gamma 90.00
loop_
_atom_site_label
_atom_site_type_symbol
_atom_site_fract_x
_atom_site_fract_y
_atom_site_fract_z
Tm1 Tm 0.000 0.000 0.239
U1 U 0.000 0.000 0.500
Ru1 Ru 0.000 0.500 0.107
```

---

No. 9
Entry from the Alexandria database: a relaxed CsK2Ga2 crystal (PBE).

## Properties
energy = -8.8 eV/f.u.
ΔH_f (0 K) = 0.068 eV/atom
total magnetization = 1.01 μB/f.u.

```
data_CsK2Ga2
_chemical_formula_sum 'Cs2 K4 Ga4'
_space_group_name_H-M_alt 'I 4/m m m'
_space_group_IT_number 139
_space_group_name_Hall '-I 4 2'
_cell_length_a 6.536
_cell_length_b 6.536
_cell_length_c 10.543
_cell_angle_alpha 90.00
_cell_angle_beta 90.00
_cell_angle_gamma 90.00
loop_
_atom_site_label
_atom_site_type_symbol
_atom_site_fract_x
_atom_site_fract_y
_atom_site_fract_z
Cs1 Cs 0.000 0.000 0.000
K1 K 0.000 0.500 0.250
Ga1 Ga 0.000 0.000 0.387
```

---

No. 10
Entry from the Alexandria database: a relaxed Cs4TeI7 crystal (PBE).

## Properties
energy = -29.8 eV/f.u.
formation energy without anion corrections = -1.0322 eV/atom
total magnetization = 0.00 μB/f.u.

```
data_Cs4TeI7
_chemical_formula_sum 'Cs8 Te2 I14'
_space_group_name_H-M_alt 'C 1 2/m 1'
_space_group_IT_number 12
_cell_length_a 20.241
_cell_length_b 6.164
_cell_length_c 12.930
_cell_angle_alpha 90.00
_cell_angle_beta 120.12
_cell_angle_gamma 90.00
loop_
_space_group_symop_operation_xyz
'x,y,z'
'-x,-y,-z'
'-x,y,-z'
'x,-y,z'
'x+1/2,y+1/2,z'
'-x+1/2,-y+1/2,-z'
'-x+1/2,y+1/2,-z'
'x+1/2,-y+1/2,z'
loop_
_atom_site_label
_atom_site_type_symbol
_atom_site_fract_x
_atom_site_fract_y
_atom_site_fract_z
Cs1 Cs 0.050 0.000 0.233
Cs2 Cs 0.217 0.000 0.809
Te1 Te 0.000 0.500 0.500
I1 I 0.000 0.000 0.500
I2 I 0.071 0.500 0.766
I3 I 0.151 0.000 0.055
I4 I 0.244 0.500 0.484
```

---

No. 11
Entry from the Alexandria database: a relaxed LiHfH crystal (PBE).

## Properties
energy = -15.7 eV/f.u.
total magnetization = 0.00 μB/f.u.

```
data_LiHfH
_chemical_formula_sum 'Li6 Hf6 H6'
_space_group_name_H-M_alt 'R -3 m'
_space_group_IT_number 166
_space_group_name_Hall '-R 3 2"'
_cell_length_a 3.1343
_cell_length_b 3.1343
_cell_length_c 30.4111
_cell_angle_alpha 90.00
_cell_angle_beta 90.00
_cell_angle_gamma 120.00
loop_
_atom_site_label
_atom_site_type_symbol
_atom_site_fract_x
_atom_site_fract_y
_atom_site_fract_z
Li1 Li 0.0000 0.0000 0.1270
Hf1 Hf 0.0000 0.0000 0.2925
H1 H 0.0000 0.0000 0.4129
```

---

No. 12
Entry from the Alexandria database: a relaxed Mg3PN crystal (PBE).

## Properties
energy = -18.5 eV/f.u.
formation energy without anion corrections = 0.0110 eV/atom
total magnetization = 0.00 μB/f.u.

```
data_Mg3PN
_chemical_formula_sum 'Mg12 P4 N4'
_space_group_name_H-M_alt 'I -4 m 2'
_space_group_IT_number 119
_space_group_name_Hall 'I -4 -2'
_cell_length_a 5.645
_cell_length_b 5.645
_cell_length_c 11.669
_cell_angle_alpha 90.00
_cell_angle_beta 90.00
_cell_angle_gamma 90.00
loop_
_atom_site_label
_atom_site_type_symbol
_atom_site_fract_x
_atom_site_fract_y
_atom_site_fract_z
Mg1 Mg 0.000 0.000 0.131
Mg2 Mg 0.000 0.245 0.620
P1 P 0.000 0.500 0.155
N1 N 0.000 0.000 0.500
N2 N 0.000 0.500 0.750
```

---

No. 13
Entry from the Alexandria database: a relaxed CrPbW2N crystal (PBE).

## Properties
energy = -35.1 eV/f.u.
formation energy without anion corrections = 2.4863 eV/atom
total magnetization = 1.41 μB/f.u.

```
data_CrPbW2N
_chemical_formula_sum 'Cr1 Pb1 W2 N1'
_space_group_name_H-M_alt 'P 4/m m m'
_space_group_IT_number 123
_space_group_name_Hall '-P 4 2'
_cell_length_a 4.558
_cell_length_b 4.558
_cell_length_c 5.186
_cell_angle_alpha 90.00
_cell_angle_beta 90.00
_cell_angle_gamma 90.00
loop_
_atom_site_label
_atom_site_type_symbol
_atom_site_fract_x
_atom_site_fract_y
_atom_site_fract_z
Cr1 Cr 0.000 0.000 0.000
Pb1 Pb 0.000 0.000 0.500
W1 W 0.000 0.500 0.000
N1 N 0.500 0.500 0.500
```

---

No. 14
Entry from the Alexandria database: a relaxed RhAuBr2 crystal (PBE).

## Properties
energy = -13.7 eV/f.u.
formation energy without anion corrections = 0.0731 eV/atom
total magnetization = 0.00 μB/f.u.

```
data_RhAuBr2
_chemical_formula_sum 'Rh2 Au2 Br4'
_space_group_name_H-M_alt 'C 1 2/m 1'
_space_group_IT_number 12
_cell_length_a 13.730
_cell_length_b 3.360
_cell_length_c 4.759
_cell_angle_alpha 90.00
_cell_angle_beta 110.10
_cell_angle_gamma 90.00
loop_
_space_group_symop_operation_xyz
'x,y,z'
'-x,-y,-z'
'-x,y,-z'
'x,-y,z'
'x+1/2,y+1/2,z'
'-x+1/2,-y+1/2,-z'
'-x+1/2,y+1/2,-z'
'x+1/2,-y+1/2,z'
loop_
_atom_site_label
_atom_site_type_symbol
_atom_site_fract_x
_atom_site_fract_y
_atom_site_fract_z
Rh1 Rh 0.000 0.000 0.000
Au1 Au 0.000 0.500 0.500
Br1 Br 0.144 0.500 0.144
```

---

No. 15
Entry from the Alexandria database: a relaxed LaCd2ReB crystal (PBE).

## Properties
energy = -23.8 eV/f.u.
ΔH_f (0 K) = 0.419 eV/atom
total magnetization = 0.00 μB/f.u.

```
data_LaCd2ReB
_chemical_formula_sum 'La1 Cd2 Re1 B1'
_space_group_name_H-M_alt 'P 4/m m m'
_space_group_IT_number 123
_space_group_name_Hall '-P 4 2'
_cell_length_a 5.208
_cell_length_b 5.208
_cell_length_c 4.223
_cell_angle_alpha 90.00
_cell_angle_beta 90.00
_cell_angle_gamma 90.00
loop_
_atom_site_label
_atom_site_type_symbol
_atom_site_fract_x
_atom_site_fract_y
_atom_site_fract_z
La1 La 0.000 0.000 0.000
Cd1 Cd 0.000 0.500 0.500
Re1 Re 0.500 0.500 0.500
B1 B 0.500 0.500 0.000
```

---

No. 16
Entry from the Alexandria database: a relaxed TcTeW3 crystal (PBE).

## Properties
energy = -38.3 eV/f.u.
formation energy without anion corrections = 2.8187 eV/atom
total magnetization = 0.72 μB/f.u.

```
data_TcTeW3
_chemical_formula_sum 'Tc1 Te1 W3'
_space_group_name_H-M_alt 'P m -3 m'
_space_group_IT_number 221
_space_group_name_Hall '-P 4 2 3'
_cell_length_a 4.811
_cell_length_b 4.811
_cell_length_c 4.811
_cell_angle_alpha 90.00
_cell_angle_beta 90.00
_cell_angle_gamma 90.00
loop_
_atom_site_label
_atom_site_type_symbol
_atom_site_fract_x
_atom_site_fract_y
_atom_site_fract_z
Tc1 Tc 0.000 0.000 0.000
Te1 Te 0.500 0.500 0.500
W1 W 0.000 0.500 0.500
```

---

No. 17
Entry from the Alexandria database: a relaxed KCr3 crystal (PBE).

## Properties
energy = -26.8 eV/f.u.
ΔH_f (0 K) = 0.794 eV/atom
total magnetization = 4.96 μB/f.u.

```
data_KCr3
_chemical_formula_sum 'K1 Cr3'
_space_group_name_H-M_alt 'P 4/m m m'
_space_group_IT_number 123
_space_group_name_Hall '-P 4 2'
_cell_length_a 3.034
_cell_length_b 3.034
_cell_length_c 8.669
_cell_angle_alpha 90.00
_cell_angle_beta 90.00
_cell_angle_gamma 90.00
loop_
_atom_site_label
_atom_site_type_symbol
_atom_site_fract_x
_atom_site_fract_y
_atom_site_fract_z
K1 K 0.000 0.000 0.000
Cr1 Cr 0.000 0.000 0.500
Cr2 Cr 0.500 0.500 0.338
```

---

No. 18
Entry from the Alexandria database: a relaxed MnFe2Ag crystal (PBE).

## Properties
energy = -27.8 eV/f.u.
ΔH_f (0 K) = 0.295 eV/atom
total magnetization = 3.08 μB/f.u.

```
data_MnFe2Ag
_chemical_formula_sum 'Mn1 Fe2 Ag1'
_space_group_name_H-M_alt 'P 4/m m m'
_space_group_IT_number 123
_space_group_name_Hall '-P 4 2'
_cell_length_a 2.606
_cell_length_b 2.606
_cell_length_c 7.664
_cell_angle_alpha 90.00
_cell_angle_beta 90.00
_cell_angle_gamma 90.00
loop_
_atom_site_label
_atom_site_type_symbol
_atom_site_fract_x
_atom_site_fract_y
_atom_site_fract_z
Mn1 Mn 0.000 0.000 0.000
Fe1 Fe 0.500 0.500 0.220
Ag1 Ag 0.000 0.000 0.500
```